{"formula": "NdInSn4", "functional": "PBE", "state": "relaxed", "lattice_angstrom": [[5.8737, -2.5012, 0.0000], [5.8737, 2.5012, 0.0000], [-0.2113, 0.0000, 5.7380]], "species": ["Nd", "In", "Sn", "Sn", "Sn", "Sn"], "fractional_positions": [[0.0000, 0.0000, 0.0000], [0.5000, 0.5000, 0.5000], [0.1607, 0.1607, 0.4917], [0.3108, 0.3108, 0.9265], [0.6892, 0.6892, 0.0735], [0.8393, 0.8393, 0.5083]], "final_energy_ev_per_atom": -4.134, "ef_ev_per_fu": -1.3, "density_kg_m3": 7228, "m_tot_mub_per_fu": 0.00, "n_ef_per_ev_fu": 2.85}